Gd2YPu: relaxed, PBE.

Results
Magnetic moment (μB per formula unit): 21.60
Energy relative to the lowest polymorph listed for this composition (kcal/mol of atoms): 1.67
DOS at the Fermi energy (states/eV/atom): 2.955
Energy of formation (eV/atom): 0.18

a = 7.9543 Å, b = 7.9543 Å, c = 7.9543 Å
α = 90.00°, β = 90.00°, γ = 90.00°
Space group Fm-3m (No. 225)
Unique sites:
Gd1 0.2500 0.2500 0.2500
Y1 0.0000 0.0000 0.0000
Pu1 0.0000 0.0000 0.5000


GdY2Pu: relaxed, PBE.

Results
Magnetic moment (μB per formula unit): 0.92
Energy relative to the lowest polymorph listed for this composition (kcal/mol of atoms): 2.26
DOS at the Fermi energy (states/eV/atom): 2.934
Energy of formation (eV/atom): 0.20

a = 7.9584 Å, b = 7.9584 Å, c = 7.9584 Å
α = 90.00°, β = 90.00°, γ = 90.00°
Space group Fm-3m (No. 225)
Unique sites:
Gd1 0.0000 0.0000 0.0000
Y1 0.2500 0.2500 0.2500
Pu1 0.0000 0.0000 0.5000


GdY2Pu: relaxed, PBE.

Results
Magnetic moment (μB per formula unit): 1.18
Energy relative to the lowest polymorph listed for this composition (kcal/mol of atoms): 0.00
DOS at the Fermi energy (states/eV/atom): 2.511
Energy of formation (eV/atom): 0.11

a = 3.5485 Å, b = 3.5485 Å, c = 9.9443 Å
α = 90.00°, β = 90.00°, γ = 90.00°
Space group P4/mmm (No. 123)
Unique sites:
Gd1 0.0000 0.0000 0.0000
Y1 0.5000 0.5000 0.2576
Pu1 0.0000 0.0000 0.5000


Gd2YPu: relaxed, PBE.

Results
Magnetic moment (μB per formula unit): 21.56
Energy relative to the lowest polymorph listed for this composition (kcal/mol of atoms): 0.84
DOS at the Fermi energy (states/eV/atom): 3.772
Energy of formation (eV/atom): 0.15

a = 5.0475 Å, b = 5.0475 Å, c = 4.9236 Å
α = 90.00°, β = 90.00°, γ = 90.00°
Space group P4/mmm (No. 123)
Unique sites:
Gd1 0.0000 0.5000 0.0000
Y1 0.0000 0.0000 0.5000
Pu1 0.5000 0.5000 0.5000


GdY2Pu: relaxed, PBE.

Results
Magnetic moment (μB per formula unit): 14.58
Energy relative to the lowest polymorph listed for this composition (kcal/mol of atoms): 1.75
DOS at the Fermi energy (states/eV/atom): 2.849
Energy of formation (eV/atom): 0.18

a = 5.7680 Å, b = 5.7680 Å, c = 3.7805 Å
α = 90.00°, β = 90.00°, γ = 90.00°
Space group P4/mmm (No. 123)
Unique sites:
Gd1 0.0000 0.0000 0.0000
Y1 0.0000 0.5000 0.5000
Pu1 0.5000 0.5000 0.0000


Gd2YPu: relaxed, PBE.

Results
Magnetic moment (μB per formula unit): 20.72
Energy relative to the lowest polymorph listed for this composition (kcal/mol of atoms): 0.00
DOS at the Fermi energy (states/eV/atom): 2.382
Energy of formation (eV/atom): 0.11

a = 3.5409 Å, b = 3.5409 Å, c = 10.0156 Å
α = 90.00°, β = 90.00°, γ = 90.00°
Space group P4/mmm (No. 123)
Unique sites:
Gd1 0.0000 0.0000 0.2430
Y1 0.5000 0.5000 0.5000
Pu1 0.5000 0.5000 0.0000


GdYPu2: relaxed, PBE.

Results
Magnetic moment (μB per formula unit): 20.09
Energy relative to the lowest polymorph listed for this composition (kcal/mol of atoms): 0.02
DOS at the Fermi energy (states/eV/atom): 3.645
Energy of formation (eV/atom): 0.20

a = 4.8518 Å, b = 4.8518 Å, c = 5.0620 Å
α = 90.00°, β = 90.00°, γ = 90.00°
Space group P4/mmm (No. 123)
Unique sites:
Gd1 0.0000 0.0000 0.0000
Y1 0.5000 0.5000 0.0000
Pu1 0.0000 0.5000 0.5000


GdPuZn4: relaxed, PBE.

Results
Magnetic moment (μB per formula unit): 14.90
DOS at the Fermi energy (states/eV/atom): 4.069
Energy of formation (eV/atom): 0.88

a = 9.9596 Å, b = 9.9596 Å, c = 9.9596 Å
α = 90.00°, β = 90.00°, γ = 90.00°
Space group F-43m (No. 216)
Unique sites:
Gd1 0.0000 0.0000 0.0000
Pu1 0.2500 0.2500 0.2500
Zn1 0.1606 0.1606 0.8394


GdPuZr: relaxed, PBE.

Results
Magnetic moment (μB per formula unit): 12.96
Energy relative to the lowest polymorph listed for this composition (kcal/mol of atoms): 0.00
DOS at the Fermi energy (states/eV/atom): 2.347
Energy of formation (eV/atom): 0.14

a = 3.3352 Å, b = 3.3352 Å, c = 14.4926 Å
α = 90.00°, β = 90.00°, γ = 90.00°
Space group I4mm (No. 107)
Unique sites:
Gd1 0.0000 0.0000 0.0000
Pu1 0.0000 0.0000 0.3173
Zr1 0.0000 0.0000 0.6659


GdPuZr: relaxed, PBE.

Results
Magnetic moment (μB per formula unit): 1.96
Energy relative to the lowest polymorph listed for this composition (kcal/mol of atoms): 1.09
DOS at the Fermi energy (states/eV/atom): 3.319
Energy of formation (eV/atom): 0.19

a = 5.3640 Å, b = 5.3640 Å, c = 3.1197 Å
α = 90.00°, β = 90.00°, γ = 120.00°
Space group P-6m2 (No. 187)
Unique sites:
Gd1 0.0000 0.0000 0.0000
Pu1 0.3333 0.6667 0.0000
Zr1 0.6667 0.3333 0.5000


GdPuZr2: relaxed, PBE.

Results
Magnetic moment (μB per formula unit): 12.78
DOS at the Fermi energy (states/eV/atom): 2.830
Energy of formation (eV/atom): 0.17

a = 4.6233 Å, b = 4.6233 Å, c = 4.7622 Å
α = 90.00°, β = 90.00°, γ = 90.00°
Space group P4/mmm (No. 123)
Unique sites:
Gd1 0.0000 0.0000 0.0000
Pu1 0.5000 0.5000 0.0000
Zr1 0.0000 0.5000 0.5000


RbGd2Ru: relaxed, PBE.

Results
Magnetic moment (μB per formula unit): 14.34
DOS at the Fermi energy (states/eV/atom): 0.876
Energy of formation (eV/atom): -0.02

a = 3.5055 Å, b = 3.5055 Å, c = 10.9848 Å
α = 90.00°, β = 90.00°, γ = 90.00°
Space group P4/mmm (No. 123)
Unique sites:
Rb1 0.0000 0.0000 0.0000
Gd1 0.5000 0.5000 0.3509
Ru1 0.0000 0.0000 0.5000


RbGd2Sc: relaxed, PBE.

Results
Magnetic moment (μB per formula unit): 14.80
DOS at the Fermi energy (states/eV/atom): 1.246
Energy of formation (eV/atom): 0.31

a = 3.5743 Å, b = 3.5743 Å, c = 38.9608 Å
α = 90.00°, β = 90.00°, γ = 120.00°
Space group R-3m (No. 166, hexagonal axes)
Unique sites:
Rb1 0.0000 0.0000 0.0000
Gd1 0.0000 0.0000 0.0991
Sc1 0.0000 0.0000 0.5000


RbGdSe2: relaxed, PBE.

Results
Magnetic moment (μB per formula unit): 7.00
E_form (uncorrected) (eV/f.u.): -7.0

a = 4.2942 Å, b = 4.2942 Å, c = 23.9664 Å
α = 90.00°, β = 90.00°, γ = 120.00°
Space group R-3m (No. 166, hexagonal axes)
Unique sites:
Rb1 0.0000 0.0000 0.0000
Gd1 0.0000 0.0000 0.5000
Se1 0.0000 0.0000 0.2322


RbSm2Gd: relaxed, PBE.

Results
Magnetic moment (μB per formula unit): 6.89
DOS at the Fermi energy (states/eV/atom): 1.326
Energy of formation (eV/atom): 0.27

a = 3.6703 Å, b = 3.6703 Å, c = 40.4293 Å
α = 90.00°, β = 90.00°, γ = 120.00°
Space group R-3m (No. 166, hexagonal axes)
Unique sites:
Rb1 0.0000 0.0000 0.0000
Sm1 0.0000 0.0000 0.0959
Gd1 0.0000 0.0000 0.5000


RbTbGd2: relaxed, PBE.

Results
Magnetic moment (μB per formula unit): 15.14
DOS at the Fermi energy (states/eV/atom): 1.620
Energy of formation (eV/atom): 0.27

a = 3.6482 Å, b = 3.6482 Å, c = 40.1061 Å
α = 90.00°, β = 90.00°, γ = 120.00°
Space group R-3m (No. 166, hexagonal axes)
Unique sites:
Rb1 0.0000 0.0000 0.0000
Tb1 0.0000 0.0000 0.5000
Gd1 0.0000 0.0000 0.0967